Below is a relaxed structure of TcNiPRu, with properties calculated at the PBE level.

Formation energy, eV/f.u.: -0.769
D(E_F), states/eV/f.u.: 4.46
Calculated density, g cm⁻³: 9.61

abc: 5.8438 5.8438 5.8438
angles: 90.00 90.00 90.00
Closest atoms and distances in Å follow each position.
Space group F-43m (No. 216)
Unique sites:
Tc (0.0000, 0.0000, 0.0000) (multiplicity 4)  4 Ni 2.53, 4 P 2.53
Ni (0.2500, 0.2500, 0.7500) (multiplicity 4)  4 Ru 2.53, 4 Tc 2.53
P (0.2500, 0.2500, 0.2500) (multiplicity 4)  4 Tc 2.53, 4 Ru 2.53
Ru (0.0000, 0.0000, 0.5000) (multiplicity 4)  4 P 2.53, 4 Ni 2.53